# CeTmBi3

A geometry-optimized CeTmBi3 structure (PBE, Alexandria).

total moment: 0.161 μB per atom
formation enthalpy at 0 K: -0.51 eV/atom
crystal system: monoclinic

Unit cell a=5.9600 b=5.8902 c=9.0733 alpha=90.00 beta=104.60 gamma=90.00
Space group P2_1/m (No. 11)
Asymmetric unit:
Ce 0.1050 0.2500 0.2904 [2 per cell]
Tm 0.3996 0.2500 0.7367 [2 per cell]
Bi 0.0408 0.7500 0.1265 [2 per cell]
Bi 0.2701 0.7500 0.4995 [2 per cell]
Bi 0.4641 0.7500 0.8737 [2 per cell]